(1)
# La2Ag2Pt | the Alexandria database | PBE-GGA | optimized geometry
# Calculated formation energy   -19.9 kJ per mole of atoms
# Total magnetization   0.0 μB/f.u.
# Final energy   -4.53 eV/atom
# E above lowest polymorph   175 meV/atom
data_La2Ag2Pt
_cell_length_a 5.828
_cell_length_b 5.828
_cell_length_c 5.735
_cell_angle_alpha 59.46
_cell_angle_beta 59.46
_cell_angle_gamma 90.00
_space_group_name_H-M_alt 'P 1'
_space_group_IT_number 1
loop_
_space_group_symop_operation_xyz
'x,y,z'
loop_
_atom_site_label
_atom_site_type_symbol
_atom_site_fract_x
_atom_site_fract_y
_atom_site_fract_z
La1 La 0.750 0.250 0.500
Ag1 Ag 0.659 0.659 0.683
Pt1 Pt 0.000 0.000 0.000
La2 La 0.250 0.750 0.500
Ag2 Ag 0.341 0.341 0.317

=====

(2)
# La4Ag2Pt | the Alexandria database | PBE-GGA | optimized geometry
# Calculated formation energy   -36.8 kJ per mole of atoms
# Total magnetization   0.0 μB/f.u.
# Final energy   -4.87 eV/atom
data_La4Ag2Pt
_cell_length_a 5.332
_cell_length_b 5.332
_cell_length_c 9.089
_cell_angle_alpha 72.94
_cell_angle_beta 72.94
_cell_angle_gamma 60.00
_space_group_name_H-M_alt 'P 1'
_space_group_IT_number 1
loop_
_space_group_symop_operation_xyz
'x,y,z'
loop_
_atom_site_label
_atom_site_type_symbol
_atom_site_fract_x
_atom_site_fract_y
_atom_site_fract_z
Pt1 Pt 0.000 0.000 0.000
Ag1 Ag 0.243 0.243 0.271
La1 La 0.629 0.629 0.112
Ag2 Ag 0.757 0.757 0.729
La2 La 0.881 0.881 0.357
La3 La 0.119 0.119 0.643
La4 La 0.371 0.371 0.888

=====

(3)
# La2AgPt | the Alexandria database | PBE-GGA | optimized geometry
# Calculated formation energy   -53.7 kJ per mole of atoms
# Total magnetization   0.0 μB/f.u.
# Final energy   -5.24 eV/atom
data_La2AgPt
_cell_length_a 5.049
_cell_length_b 5.049
_cell_length_c 5.049
_cell_angle_alpha 60.00
_cell_angle_beta 60.00
_cell_angle_gamma 60.00
_space_group_name_H-M_alt 'P 1'
_space_group_IT_number 1
loop_
_space_group_symop_operation_xyz
'x,y,z'
loop_
_atom_site_label
_atom_site_type_symbol
_atom_site_fract_x
_atom_site_fract_y
_atom_site_fract_z
Pt1 Pt 0.250 0.250 0.250
La1 La 0.000 0.000 0.000
La2 La 0.750 0.750 0.750
Ag1 Ag 0.500 0.500 0.500

=====

(4)
# La2Ag3Pt2 | the Alexandria database | PBE-GGA | optimized geometry
# Calculated formation energy   -61.5 kJ per mole of atoms
# Total magnetization   0.0 μB/f.u.
# Final energy   -4.99 eV/atom
data_La2Ag3Pt2
_cell_length_a 4.285
_cell_length_b 5.552
_cell_length_c 7.257
_cell_angle_alpha 96.61
_cell_angle_beta 90.00
_cell_angle_gamma 112.70
_space_group_name_H-M_alt 'P 1'
_space_group_IT_number 1
loop_
_space_group_symop_operation_xyz
'x,y,z'
loop_
_atom_site_label
_atom_site_type_symbol
_atom_site_fract_x
_atom_site_fract_y
_atom_site_fract_z
La1 La 0.381 0.763 0.664
Ag1 Ag 0.692 0.385 0.888
Pt1 Pt 0.096 0.193 0.650
Pt2 Pt 0.904 0.807 0.350
Ag2 Ag 0.000 0.000 0.000
Ag3 Ag 0.308 0.615 0.112
La2 La 0.619 0.237 0.336

=====

(5)
# La2AgPt | the Alexandria database | PBE-GGA | optimized geometry
# Calculated formation energy   -43.3 kJ per mole of atoms
# Total magnetization   0.0 μB/f.u.
# Final energy   -5.14 eV/atom
data_La2AgPt
_cell_length_a 6.714
_cell_length_b 6.714
_cell_length_c 6.714
_cell_angle_alpha 40.93
_cell_angle_beta 40.93
_cell_angle_gamma 40.93
_space_group_name_H-M_alt 'P 1'
_space_group_IT_number 1
loop_
_space_group_symop_operation_xyz
'x,y,z'
loop_
_atom_site_label
_atom_site_type_symbol
_atom_site_fract_x
_atom_site_fract_y
_atom_site_fract_z
La1 La 0.217 0.217 0.217
Ag1 Ag 0.796 0.796 0.796
La2 La 0.034 0.034 0.034
Pt1 Pt 0.453 0.453 0.453

=====

(6)
# La4AgPt2 | the Alexandria database | PBE-GGA | optimized geometry
# Calculated formation energy   -68.9 kJ per mole of atoms
# Total magnetization   0.0 μB/f.u.
# Final energy   -5.66 eV/atom
data_La4AgPt2
_cell_length_a 4.363
_cell_length_b 4.363
_cell_length_c 13.654
_cell_angle_alpha 80.81
_cell_angle_beta 80.81
_cell_angle_gamma 60.00
_space_group_name_H-M_alt 'P 1'
_space_group_IT_number 1
loop_
_space_group_symop_operation_xyz
'x,y,z'
loop_
_atom_site_label
_atom_site_type_symbol
_atom_site_fract_x
_atom_site_fract_y
_atom_site_fract_z
Pt1 Pt 0.591 0.591 0.228
La1 La 0.705 0.705 0.884
La2 La 0.884 0.884 0.347
Ag1 Ag 0.500 0.500 0.500
La3 La 0.295 0.295 0.116
La4 La 0.116 0.116 0.653
Pt2 Pt 0.409 0.409 0.772

=====

(7)
# La2AgPt | the Alexandria database | PBE-GGA | optimized geometry
# Calculated formation energy   -58.9 kJ per mole of atoms
# Total magnetization   0.0 μB/f.u.
# Final energy   -5.30 eV/atom
data_La2AgPt
_cell_length_a 4.358
_cell_length_b 4.358
_cell_length_c 6.131
_cell_angle_alpha 90.00
_cell_angle_beta 90.00
_cell_angle_gamma 90.00
_space_group_name_H-M_alt 'P 1'
_space_group_IT_number 1
loop_
_space_group_symop_operation_xyz
'x,y,z'
loop_
_atom_site_label
_atom_site_type_symbol
_atom_site_fract_x
_atom_site_fract_y
_atom_site_fract_z
Ag1 Ag 0.500 0.500 0.874
Pt1 Pt 0.000 0.000 0.375
La1 La 0.500 0.500 0.374
La2 La 0.000 0.000 0.876

=====

(8)
# La2AgPt | the Alexandria database | PBE-GGA | optimized geometry
# Calculated formation energy   -39.7 kJ per mole of atoms
# Total magnetization   0.0 μB/f.u.
# Final energy   -5.10 eV/atom
data_La2AgPt
_cell_length_a 8.007
_cell_length_b 8.007
_cell_length_c 6.764
_cell_angle_alpha 53.71
_cell_angle_beta 53.71
_cell_angle_gamma 90.00
_space_group_name_H-M_alt 'P 1'
_space_group_IT_number 1
loop_
_space_group_symop_operation_xyz
'x,y,z'
loop_
_atom_site_label
_atom_site_type_symbol
_atom_site_fract_x
_atom_site_fract_y
_atom_site_fract_z
Pt1 Pt 0.750 0.250 0.500
Ag1 Ag 0.500 0.500 0.000
La1 La 0.097 0.625 0.250
La2 La 0.375 0.347 0.750
La3 La 0.875 0.903 0.750
Pt2 Pt 0.000 0.000 0.000
Ag2 Ag 0.250 0.750 0.500
La4 La 0.653 0.125 0.250

=====

(9)
# La6AgPt | the Alexandria database | PBE-GGA | optimized geometry
# Calculated formation energy   -18.6 kJ per mole of atoms
# Total magnetization   0.0 μB/f.u.
# Final energy   -5.00 eV/atom
# E above lowest polymorph   118 meV/atom
data_La6AgPt
_cell_length_a 7.001
_cell_length_b 7.001
_cell_length_c 8.051
_cell_angle_alpha 64.22
_cell_angle_beta 64.32
_cell_angle_gamma 59.97
_space_group_name_H-M_alt 'P 1'
_space_group_IT_number 1
loop_
_space_group_symop_operation_xyz
'x,y,z'
loop_
_atom_site_label
_atom_site_type_symbol
_atom_site_fract_x
_atom_site_fract_y
_atom_site_fract_z
La1 La 0.054 0.427 0.746
Ag1 Ag 0.500 0.500 0.500
La2 La 0.573 0.226 0.254
La3 La 0.946 0.573 0.254
La4 La 0.226 0.947 0.254
La5 La 0.427 0.774 0.746
Pt1 Pt 0.000 0.000 0.000
La6 La 0.774 0.053 0.746

=====

(10)
# La2AgPt | the Alexandria database | PBE-GGA | optimized geometry
# Calculated formation energy   -70.6 kJ per mole of atoms
# Total magnetization   0.0 μB/f.u.
# Final energy   -5.42 eV/atom
data_La2AgPt
_cell_length_a 4.699
_cell_length_b 6.176
_cell_length_c 8.022
_cell_angle_alpha 111.50
_cell_angle_beta 90.00
_cell_angle_gamma 90.00
_space_group_name_H-M_alt 'P 1'
_space_group_IT_number 1
loop_
_space_group_symop_operation_xyz
'x,y,z'
loop_
_atom_site_label
_atom_site_type_symbol
_atom_site_fract_x
_atom_site_fract_y
_atom_site_fract_z
La1 La 0.750 0.240 0.922
La2 La 0.250 0.783 0.563
Pt1 Pt 0.750 0.678 0.294
Ag1 Ag 0.750 0.675 0.791
La3 La 0.750 0.217 0.437
Pt2 Pt 0.250 0.322 0.706
La4 La 0.250 0.760 0.078
Ag2 Ag 0.250 0.325 0.209

=====

Look up the total magnetization of the fourth one.
0.0 μB/f.u.